Below is a geometry-optimized Cu2RhI structure, with properties calculated at the PBE level.

abc: 7.3166 7.3166 5.7993
angles: 50.89 50.89 90.00
Last column: nearest neighbours and their distance in Å.
Fractional coordinates of all 8 atoms:
Rh (0.5000, 0.5000, 0.0000)  4 Cu 2.62, 2 I 2.62
Rh (0.2500, 0.7500, 0.5000)  4 Cu 2.62, 2 I 2.62
I (0.0000, 0.0000, 0.0000)  2 Rh 2.62, 4 Cu 2.72
I (0.7500, 0.2500, 0.5000)  2 Rh 2.62, 4 Cu 2.72
Cu (0.8750, 0.8649, 0.7500)  2 Rh 2.62, 2 Cu 2.62, 2 I 2.72
Cu (0.6149, 0.1250, 0.2500)  2 Rh 2.62, 2 Cu 2.62, 2 I 2.72
Cu (0.1351, 0.6250, 0.2500)  2 Rh 2.62, 2 Cu 2.62, 2 I 2.72
Cu (0.3750, 0.3851, 0.7500)  2 Rh 2.62, 2 Cu 2.62, 2 I 2.72

Values from the calculation:
Its formation energy from raw total energies is 0.523 eV/atom. The value obtained for the excess energy over the best structure of this formula in the dataset is 0.000 eV/atom. As for the crystal system: tetragonal.


Below is a geometry-optimized InW3 structure, with properties calculated at the PBE level.

abc: 5.1870 5.1870 2.7936
angles: 90.00 90.00 113.83
Last column: nearest neighbours and their distance in Å.
Fractional coordinates of all 4 atoms:
W (0.5000, 0.0000, 0.5000)  8 W 2.79-2.95, 4 In 2.95
W (0.5000, 0.5000, 0.0000)  10 W 2.79-2.95, 2 In 2.83
W (0.0000, 0.5000, 0.5000)  8 W 2.79-2.95, 4 In 2.95
In (0.0000, 0.0000, 0.0000)  2 In 2.79, 10 W 2.83-2.95

Values from the calculation:
The formation energy comes out at 594 meV per atom. As for the crystal system: orthorhombic.


Below is a geometry-optimized LiPaAsO2 structure, with properties calculated at the PBE level.

abc: 3.7918 3.7918 6.6494
angles: 106.57 106.57 90.00
Last column: nearest neighbours and their distance in Å.
Fractional coordinates of all 5 atoms:
O (0.2489, 0.7489, 0.4978)  2 Li 2.09, 2 Pa 2.14
O (0.7489, 0.2489, 0.4978)  2 Li 2.09, 2 Pa 2.14
Pa (0.1675, 0.1675, 0.3349)  4 O 2.14
As (0.5137, 0.5137, 0.0275)  4 Pa 3.27, 4 O 3.43, 4 Li 3.56
Li (0.8211, 0.8211, 0.6421)  4 O 2.09

Values from the calculation:
Its formation energy from raw total energies is -2.159 eV/atom. As for the crystal system: tetragonal.